The following is a DFT calculation (PBE) of Tb2ErNpSb4 after structural relaxation.

Cell lengths 4.3844, 7.6006, 7.6070 Å; angles 70.71, 90.00, 90.00 degrees
Closest atoms and distances in Å follow each position.
Fractional positions:
Tb 0.5000 0.0000 0.5000  6 Sb 3.11-3.12
Tb 0.0000 0.5000 0.5000  6 Sb 3.11
Er 0.5000 0.5000 0.0000  6 Sb 3.09
Np 0.0000 0.0000 0.0000  6 Sb 3.09-3.11
Sb 0.5000 0.2511 0.7512  1 Er 3.09, 2 Np 3.11, 3 Tb 3.11
Sb 0.5000 0.7489 0.2488  1 Er 3.09, 2 Np 3.11, 3 Tb 3.11
Sb 0.0000 0.7483 0.7529  2 Er 3.09, 1 Np 3.09, 3 Tb 3.11-3.12
Sb 0.0000 0.2517 0.2471  2 Er 3.09, 1 Np 3.09, 3 Tb 3.11-3.12

Computed properties:
DFT total energy ... -6.29 eV per atom
Formation energy without anion corrections ... -0.8874 eV per atom
Symmetry ... No. 10

The following is a DFT calculation (PBE) of TbEr2NpSb4 after structural relaxation.

Cell lengths 4.3745, 7.5853, 7.5788 Å; angles 109.32, 90.00, 90.00 degrees
Closest atoms and distances in Å follow each position.
Fractional positions:
Tb 0.5000 0.5000 0.0000  6 Sb 3.11
Er 0.5000 0.0000 0.5000  6 Sb 3.08
Er 0.0000 0.5000 0.5000  6 Sb 3.08-3.09
Np 0.0000 0.0000 0.0000  6 Sb 3.10-3.11
Sb 0.5000 0.2513 0.2536  3 Er 3.08, 1 Tb 3.11, 2 Np 3.11
Sb 0.5000 0.7487 0.7464  3 Er 3.08, 1 Tb 3.11, 2 Np 3.11
Sb 0.0000 0.2483 0.7471  3 Er 3.08-3.09, 1 Np 3.10, 2 Tb 3.11
Sb 0.0000 0.7517 0.2529  3 Er 3.08-3.09, 1 Np 3.10, 2 Tb 3.11

Computed properties:
DFT total energy ... -6.27 eV per atom
Formation energy without anion corrections ... -0.8742 eV per atom
Symmetry ... No. 10

The following is a DFT calculation (PBE) of ErTm2NpSb4 after structural relaxation.

Cell lengths 4.3544, 7.5481, 7.5453 Å; angles 109.31, 90.00, 90.00 degrees
Closest atoms and distances in Å follow each position.
Fractional positions:
Er 0.5000 0.5000 0.0000  6 Sb 3.08-3.09
Tm 0.5000 0.0000 0.5000  6 Sb 3.07-3.08
Tm 0.0000 0.5000 0.5000  6 Sb 3.06
Np 0.0000 0.0000 0.0000  6 Sb 3.09-3.10
Sb 0.5000 0.2530 0.2537  3 Tm 3.06-3.07, 1 Er 3.08, 2 Np 3.10
Sb 0.5000 0.7470 0.7463  3 Tm 3.06-3.07, 1 Er 3.08, 2 Np 3.10
Sb 0.0000 0.2503 0.7482  3 Tm 3.06-3.08, 2 Er 3.09, 1 Np 3.09
Sb 0.0000 0.7497 0.2518  3 Tm 3.06-3.08, 2 Er 3.09, 1 Np 3.09

Computed properties:
DFT total energy ... -6.21 eV per atom
Formation energy without anion corrections ... -0.8458 eV per atom
Symmetry ... No. 10

The following is a DFT calculation (PBE) of Er2TmNpSb4 after structural relaxation.

Cell lengths 4.3595, 7.5511, 7.5536 Å; angles 109.33, 90.00, 90.00 degrees
Closest atoms and distances in Å follow each position.
Fractional positions:
Er 0.5000 0.0000 0.5000  6 Sb 3.09
Er 0.0000 0.5000 0.5000  6 Sb 3.07
Tm 0.5000 0.5000 0.0000  6 Sb 3.08
Np 0.0000 0.0000 0.0000  6 Sb 3.09-3.10
Sb 0.5000 0.2529 0.2521  3 Er 3.07-3.09, 1 Tm 3.08, 2 Np 3.10
Sb 0.5000 0.7471 0.7479  3 Er 3.07-3.09, 1 Tm 3.08, 2 Np 3.10
Sb 0.0000 0.2514 0.7501  3 Er 3.07-3.09, 2 Tm 3.08, 1 Np 3.09
Sb 0.0000 0.7486 0.2499  3 Er 3.07-3.09, 2 Tm 3.08, 1 Np 3.09

Computed properties:
DFT total energy ... -6.23 eV per atom
Formation energy without anion corrections ... -0.8521 eV per atom
Symmetry ... No. 10

The following is a DFT calculation (PBE) of Er2NpSc3Se6 after structural relaxation.

Cell lengths 3.9419, 7.9719, 8.8901 Å; angles 103.16, 102.81, 90.00 degrees
Closest atoms and distances in Å follow each position.
Fractional positions:
Er 0.8379 0.6732 0.6759  6 Se 2.80-2.89
Er 0.1621 0.3268 0.3241  6 Se 2.80-2.89
Np 0.5000 0.0000 0.0000  6 Se 2.88-2.91
Sc 0.5000 0.5000 0.0000  6 Se 2.73-2.81
Sc 0.8363 0.1614 0.6726  6 Se 2.70-2.80
Sc 0.1637 0.8386 0.3274  6 Se 2.70-2.80
Se 0.3273 0.9204 0.6546  3 Sc 2.73-2.76, 2 Er 2.82, 1 Np 2.91
Se 0.6666 0.5906 0.3332  3 Sc 2.80-2.81, 3 Er 2.87-2.89
Se 0.6727 0.0796 0.3454  3 Sc 2.73-2.76, 2 Er 2.82, 1 Np 2.91
Se 0.9964 0.2618 0.9927  3 Sc 2.70-2.73, 1 Er 2.80, 2 Np 2.88
Se 0.0036 0.7382 0.0073  3 Sc 2.70-2.73, 1 Er 2.80, 2 Np 2.88
Se 0.3334 0.4094 0.6668  3 Sc 2.80-2.81, 3 Er 2.87-2.89

Computed properties:
DFT total energy ... -6.71 eV per atom
Formation energy without anion corrections ... -1.5485 eV per atom
Symmetry ... No. 12

The following is a DFT calculation (PBE) of Er3Np2Se6 after structural relaxation.

Cell lengths 4.0881, 4.0881, 19.9978 Å; angles 84.13, 84.13, 60.00 degrees
Closest atoms and distances in Å follow each position.
Fractional positions:
Er 0.0000 0.0000 0.0000  6 Se 2.86
Er 0.2784 0.2784 0.1648  6 Se 2.85-2.88
Er 0.7216 0.7216 0.8352  6 Se 2.85-2.88
Np 0.4445 0.4445 0.6666  6 Se 2.80-2.94
Np 0.5555 0.5555 0.3334  6 Se 2.80-2.94
Se 0.0816 0.0816 0.7551  3 Er 2.85, 3 Np 2.94
Se 0.9184 0.9184 0.2449  3 Er 2.85, 3 Np 2.94
Se 0.1969 0.1969 0.4092  3 Np 2.80
Se 0.8031 0.8031 0.5908  3 Np 2.80
Se 0.3606 0.3606 0.9183  6 Er 2.86-2.88
Se 0.6394 0.6394 0.0817  6 Er 2.86-2.88

Computed properties:
DFT total energy ... -6.93 eV per atom
Formation energy without anion corrections ... -1.4329 eV per atom
Symmetry ... No. 166

The following is a DFT calculation (PBE) of Er2NpSe4 after structural relaxation.

Cell lengths 8.4136, 8.4289, 8.4289 Å; angles 59.62, 60.06, 60.06 degrees
Closest atoms and distances in Å follow each position.
Fractional positions:
Er 0.1252 0.1248 0.6248  4 Se 2.70-2.72
Er 0.5000 0.0000 0.0000  6 Se 2.86-2.87
Er 0.5000 0.5000 0.5000  6 Se 2.86-2.87
Er 0.8748 0.8752 0.3752  4 Se 2.70-2.72
Np 0.0000 0.5000 0.0000  6 Se 2.93-2.95
Np 0.5000 0.5000 0.0000  6 Se 2.93-2.95
Se 0.2612 0.2454 0.2322  2 Er 2.70-2.86, 2 Np 2.93
Se 0.2612 0.7322 0.7454  2 Er 2.70-2.86, 2 Np 2.93
Se 0.2637 0.2535 0.7535  3 Er 2.72-2.87, 1 Np 2.95
Se 0.7293 0.2535 0.7535  3 Er 2.72-2.87, 1 Np 2.95
Se 0.2707 0.7465 0.2465  3 Er 2.72-2.87, 1 Np 2.95
Se 0.7388 0.2678 0.2546  2 Er 2.70-2.86, 2 Np 2.93
Se 0.7363 0.7465 0.2465  3 Er 2.72-2.87, 1 Np 2.95
Se 0.7388 0.7546 0.7678  2 Er 2.70-2.86, 2 Np 2.93

Computed properties:
DFT total energy ... -6.59 eV per atom
Formation energy without anion corrections ... -1.4452 eV per atom
Symmetry ... No. 74

The following is a DFT calculation (PBE) of Er2Np2Se7 after structural relaxation.

Cell lengths 6.8255, 6.9517, 6.8255 Å; angles 89.99, 93.90, 90.01 degrees
Closest atoms and distances in Å follow each position.
Fractional positions:
Er 0.7219 0.5000 0.7219  6 Se 2.72-3.01
Er 0.2781 0.5000 0.2781  6 Se 2.72-3.01
Np 0.7307 0.0000 0.2693  7 Se 2.69-2.96
Np 0.2693 0.0000 0.7307  7 Se 2.69-2.96
Se 0.9998 0.2603 0.5003  2 Np 2.96, 2 Er 3.01
Se 0.5003 0.7397 0.9998  2 Np 2.96, 2 Er 3.01
Se 0.0002 0.7397 0.4997  2 Np 2.96, 2 Er 3.01
Se 0.4997 0.2603 0.0002  2 Np 2.96, 2 Er 3.01
Se 0.0000 0.0000 0.0000  2 Np 2.69
Se 0.5002 0.7547 0.4998  2 Er 2.72, 2 Np 2.86-2.87
Se 0.4998 0.2453 0.5002  2 Er 2.72, 2 Np 2.86-2.87

Computed properties:
DFT total energy ... -6.59 eV per atom
Formation energy without anion corrections ... -1.1909 eV per atom
Symmetry ... No. 65